# 1
Mg2ScFeCu4 | PBE | relaxed

Energy above the most stable polymorph in this dataset   0.00 kcal/mol of atoms
Space-group type   P4/mmm (123)

Geometry as CIF:
```
data_Mg2ScFeCu4
_chemical_formula_sum 'Mg2 Sc1 Fe1 Cu4'
_space_group_name_H-M_alt 'P 1'
_space_group_IT_number 1
_space_group_name_Hall 'P 1'
_cell_length_a 4.309
_cell_length_b 4.309
_cell_length_c 6.154
_cell_angle_alpha 90.00
_cell_angle_beta 90.00
_cell_angle_gamma 90.00
loop_
_atom_site_label
_atom_site_type_symbol
_atom_site_fract_x
_atom_site_fract_y
_atom_site_fract_z
Mg1 Mg 0.000 0.000 0.000
Mg2 Mg 0.500 0.500 0.500
Cu1 Cu 0.500 0.000 0.727
Cu2 Cu 0.000 0.500 0.273
Cu3 Cu 0.500 0.000 0.273
Cu4 Cu 0.000 0.500 0.727
Fe1 Fe 0.000 0.000 0.500
Sc1 Sc 0.500 0.500 0.000
```

# 2
PrIn2Pd3 | PBE | relaxed

Space-group type   Pnma (62)
E   -120.25 eV/cell

Geometry as CIF:
```
data_PrIn2Pd3
_chemical_formula_sum 'Pr4 In8 Pd12'
_space_group_name_H-M_alt 'P 1'
_space_group_IT_number 1
_space_group_name_Hall 'P 1'
_cell_length_a 10.352
_cell_length_b 4.666
_cell_length_c 9.971
_cell_angle_alpha 90.00
_cell_angle_beta 90.00
_cell_angle_gamma 90.00
loop_
_atom_site_label
_atom_site_type_symbol
_atom_site_fract_x
_atom_site_fract_y
_atom_site_fract_z
Pd1 Pd 0.758 0.250 0.259
Pd2 Pd 0.974 0.750 0.606
Pd3 Pd 0.120 0.750 0.146
Pd4 Pd 0.474 0.750 0.894
Pd5 Pd 0.380 0.250 0.646
Pd6 Pd 0.026 0.250 0.394
Pd7 Pd 0.880 0.250 0.854
Pd8 Pd 0.258 0.250 0.241
Pd9 Pd 0.242 0.750 0.741
Pd10 Pd 0.526 0.250 0.106
Pd11 Pd 0.620 0.750 0.354
Pd12 Pd 0.742 0.750 0.759
Pr1 Pr 0.231 0.750 0.444
Pr2 Pr 0.769 0.250 0.556
Pr3 Pr 0.269 0.250 0.944
Pr4 Pr 0.731 0.750 0.056
In1 In 0.105 0.250 0.660
In2 In 0.395 0.750 0.160
In3 In 0.605 0.250 0.840
In4 In 0.484 0.250 0.385
In5 In 0.016 0.750 0.885
In6 In 0.516 0.750 0.615
In7 In 0.895 0.750 0.340
In8 In 0.984 0.250 0.115
```

# 3
ThGaB4 | PBE | relaxed

Energy above the most stable polymorph in this dataset   2.67 kcal/mol of atoms
Space-group type   P6/mmm (191)

Geometry as CIF:
```
data_ThGaB4
_chemical_formula_sum 'Th1 Ga1 B4'
_space_group_name_H-M_alt 'P 1'
_space_group_IT_number 1
_space_group_name_Hall 'P 1'
_cell_length_a 3.170
_cell_length_b 3.170
_cell_length_c 7.758
_cell_angle_alpha 90.00
_cell_angle_beta 90.00
_cell_angle_gamma 120.00
loop_
_atom_site_label
_atom_site_type_symbol
_atom_site_fract_x
_atom_site_fract_y
_atom_site_fract_z
Th1 Th 0.000 0.000 0.000
B1 B 0.667 0.333 0.719
B2 B 0.333 0.667 0.281
B3 B 0.333 0.667 0.719
B4 B 0.667 0.333 0.281
Ga1 Ga 0.000 0.000 0.500
```

# 4
BeInFeIr | PBE | relaxed

Energy above the most stable polymorph in this dataset   0.00 kcal/mol of atoms
Space-group type   F-43m (216)

Geometry as CIF:
```
data_BeInFeIr
_chemical_formula_sum 'Be1 In1 Fe1 Ir1'
_space_group_name_H-M_alt 'P 1'
_space_group_IT_number 1
_space_group_name_Hall 'P 1'
_cell_length_a 4.272
_cell_length_b 4.272
_cell_length_c 4.272
_cell_angle_alpha 60.00
_cell_angle_beta 60.00
_cell_angle_gamma 60.00
loop_
_atom_site_label
_atom_site_type_symbol
_atom_site_fract_x
_atom_site_fract_y
_atom_site_fract_z
Ir1 Ir 0.500 0.500 0.500
Fe1 Fe 0.750 0.750 0.750
Be1 Be 0.250 0.250 0.250
In1 In 0.000 0.000 0.000
```

no.,total magnetization (μB per atom)
1,0.326
2,0.000
3,0.000
4,0.759